1.
VASP calculation (PBE) on a geometry-optimized LaPm3Er12 structure.

The calculation puts the total magnetic moment at 0.0 μB/f.u. Its crystal system is tetragonal. The formation enthalpy at 0 K comes out at 0.027 eV/atom. For the energy, the calculation gives -4.59 eV/atom.

It has space group P4/mmm (No. 123), with a = 5.019 Å, b = 5.019 Å, c = 20.105 Å, α = 90.00°, β = 90.00° and γ = 90.00°. The distinct sites, in fractional coordinates, are La at (0.000, 0.000, 0.000), Pm at (0.000, 0.000, 0.250), Pm at (0.000, 0.000, 0.500), Er at (0.000, 0.500, 0.127), Er at (0.000, 0.500, 0.376), Er at (0.500, 0.500, 0.000), Er at (0.500, 0.500, 0.251) and Er at (0.500, 0.500, 0.500).


2.
VASP calculation (PBE) on a geometry-optimized Ce4Te2Ru structure.

The formation energy without anion corrections is -0.70 eV per atom. The calculation puts the total magnetic moment at 4.6 μB/f.u. Its crystal system is monoclinic. For the energy, the calculation gives -6.31 eV/atom.

It has space group C2/m (No. 12), with a = 16.450 Å, b = 4.132 Å, c = 7.076 Å, α = 90.00°, β = 115.05° and γ = 90.00°. The distinct sites, in fractional coordinates, are Ce at (0.105, 0.000, 0.428), Ce at (0.108, 0.500, 0.957), Te at (0.243, 0.500, 0.741) and Ru at (0.000, 0.000, 0.000).


3.
VASP calculation (PBE) on a geometry-optimized SrHg2W structure.

The calculation puts the total magnetic moment at 1.3 μB/f.u. Its crystal system is tetragonal. The formation enthalpy at 0 K comes out at 0.811 eV/atom. For the energy, the calculation gives -3.00 eV/atom.

It has space group I-4m2 (No. 119), with a = 4.322 Å, b = 4.322 Å, c = 10.224 Å, α = 90.00°, β = 90.00° and γ = 90.00°. The distinct sites, in fractional coordinates, are Sr at (0.000, 0.000, 0.000), Hg at (0.000, 0.000, 0.500), Hg at (0.000, 0.500, 0.250) and W at (0.000, 0.500, 0.750).


4.
VASP calculation (PBE) on a geometry-optimized NaCaFe2 structure.

The calculation puts the total magnetic moment at 5.5 μB/f.u. Its crystal system is cubic. The formation enthalpy at 0 K comes out at 0.935 eV/atom. For the energy, the calculation gives -4.13 eV/atom.

It has space group Fm-3m (No. 225), with a = 6.960 Å, b = 6.960 Å, c = 6.960 Å, α = 90.00°, β = 90.00° and γ = 90.00°. The distinct sites, in fractional coordinates, are Na at (0.000, 0.000, 0.000), Ca at (0.000, 0.000, 0.500) and Fe at (0.250, 0.250, 0.250).


5.
VASP calculation (PBE) on a geometry-optimized Ta2PtCl structure.

The formation energy without anion corrections is -0.10 eV per atom. The calculation puts the total magnetic moment at 0.0 μB/f.u. Its crystal system is tetragonal. For the energy, the calculation gives -8.00 eV/atom.

It has space group P4mm (No. 99), with a = 4.936 Å, b = 4.936 Å, c = 2.826 Å, α = 90.00°, β = 90.00° and γ = 90.00°. The distinct sites, in fractional coordinates, are Ta at (0.000, 0.500, 0.000), Pt at (0.000, 0.000, 0.500) and Cl at (0.500, 0.500, 0.998).


6.
VASP calculation (PBE) on a geometry-optimized CsLiAu structure.

The calculation puts the total magnetic moment at 0.0 μB/f.u. Its crystal system is monoclinic. The formation enthalpy at 0 K comes out at -0.288 eV/atom. For the energy, the calculation gives -2.30 eV/atom.

It has space group Cm (No. 8), with a = 6.741 Å, b = 6.737 Å, c = 10.474 Å, α = 90.00°, β = 90.23° and γ = 90.00°. The distinct sites, in fractional coordinates, are Cs at (0.000, 0.000, 0.000), Cs at (0.004, 0.500, 0.581), Li at (0.254, 0.250, 0.291), Au at (0.003, 0.500, 0.179) and Au at (0.004, 0.000, 0.402).